# K2ZrBeRh

A relaxed K2ZrBeRh crystal (PBE, the Alexandria database).

```
5
Lattice="6.046 0.000 0.000 0.000 4.098 0.000 0.000 0.000 6.046" Properties=species:S:1:pos:R:3 pbc="T T T"
Be 0.000 2.049 0.000
Rh 0.000 0.000 0.000
Zr 3.023 2.049 3.023
K 0.000 0.000 3.023
K 3.023 0.000 0.000
```

E_form: 1.29 eV/atom
SG: No. 123

=====

# KBeRu4

A relaxed KBeRu4 crystal (PBE, the Alexandria database).

```
6
Lattice="0.000 3.705 3.705 3.705 0.000 3.705 3.705 3.705 0.000" Properties=species:S:1:pos:R:3 pbc="T T T"
Ru 2.784 2.784 2.784
Ru 4.625 4.625 2.784
Ru 4.625 2.784 4.625
Ru 2.784 4.625 4.625
Be 5.557 5.557 5.557
K 0.000 0.000 0.000
```

E_form: 1.08 eV/atom
SG: No. 216

=====

# K2BeRu

A relaxed K2BeRu crystal (PBE, the Alexandria database).

```
4
Lattice="-5.617 -2.278 -0.538 -1.849 -4.016 -4.182 4.412 1.073 4.052" Properties=species:S:1:pos:R:3 pbc="T T T"
Be -2.469 -2.176 0.576
K 0.000 0.000 0.000
K -3.733 -3.147 -2.360
Ru -0.585 -3.045 -1.245
```

E_form: 1.23 eV/atom
SG: No. 139

=====

> The lowest E_form belongs to which entry?

KBeRu4

=====

> E_form of number 2 (KBeRu4)?

1.08 eV/atom

=====

> Which of these has the lowest E_form?

KBeRu4

=====

> Which value of E_form does entry 2 give?

1.08 eV/atom